[1]
Material: Li5Zn24
Method: DFT, meta-GGA SCAN
State: single point on PBEsol structure

abc: 8.1459 8.1459 8.1459
angles: 109.47 109.47 109.47
With the nearest neighbours (Å) after each atom.
Positions (direct):
Li: 0.0000 0.0000 0.3604  9 Zn 2.64-2.86, 1 Li 2.94
Li: 0.6396 0.6396 0.6396  9 Zn 2.64-2.86, 1 Li 2.94
Li: 0.3604 0.0000 0.0000  9 Zn 2.64-2.86, 1 Li 2.94
Li: 0.0000 0.3604 0.0000  9 Zn 2.64-2.86, 1 Li 2.94
Li: 0.0000 0.0000 0.0000  12 Zn 2.92, 4 Li 2.94
Zn: 0.1896 0.1896 0.8154  6 Zn 2.46-2.66
Zn: 0.3742 0.3742 0.1846  6 Zn 2.46-2.66
Zn: 0.6258 0.8104 0.0000  6 Zn 2.46-2.66
Zn: 0.8104 0.6258 0.0000  6 Zn 2.46-2.66
Zn: 0.0000 0.8104 0.6258  6 Zn 2.46-2.66
Zn: 0.0000 0.6258 0.8104  6 Zn 2.46-2.66
Zn: 0.1846 0.3742 0.3742  6 Zn 2.46-2.66
Zn: 0.8154 0.1896 0.1896  6 Zn 2.46-2.66
Zn: 0.8104 0.0000 0.6258  6 Zn 2.46-2.66
Zn: 0.6258 0.0000 0.8104  6 Zn 2.46-2.66
Zn: 0.1896 0.8154 0.1896  6 Zn 2.46-2.66
Zn: 0.3742 0.1846 0.3742  6 Zn 2.46-2.66
Zn: 0.6849 0.6849 0.2808  11 Zn 2.55-2.84, 1 Li 2.64
Zn: 0.4041 0.4041 0.7192  11 Zn 2.55-2.84, 1 Li 2.64
Zn: 0.5959 0.3151 0.0000  11 Zn 2.55-2.84, 1 Li 2.64
Zn: 0.3151 0.5959 0.0000  11 Zn 2.55-2.84, 1 Li 2.64
Zn: 0.0000 0.3151 0.5959  11 Zn 2.55-2.84, 1 Li 2.64
Zn: 0.0000 0.5959 0.3151  11 Zn 2.55-2.84, 1 Li 2.64
Zn: 0.7192 0.4041 0.4041  11 Zn 2.55-2.84, 1 Li 2.64
Zn: 0.2808 0.6849 0.6849  11 Zn 2.55-2.84, 1 Li 2.64
Zn: 0.3151 0.0000 0.5959  11 Zn 2.55-2.84, 1 Li 2.64
Zn: 0.5959 0.0000 0.3151  11 Zn 2.55-2.84, 1 Li 2.64
Zn: 0.6849 0.2808 0.6849  11 Zn 2.55-2.84, 1 Li 2.64
Zn: 0.4041 0.7192 0.4041  11 Zn 2.55-2.84, 1 Li 2.64

Output
Total energy ... -0.862 Ry per atom
N(E_F) ... 0.266 states/eV/atom
E_form ... -0.13 eV/atom



[2]
Material: KInPb4
Method: DFT, meta-GGA SCAN
State: single point on PBEsol structure

abc: 6.4740 6.4740 6.4740
angles: 60.00 60.00 60.00
With the nearest neighbours (Å) after each atom.
Positions (direct):
In: 0.7500 0.7500 0.7500  12 Pb 3.80, 4 K 3.96
K: 0.0000 0.0000 0.0000  12 Pb 3.80, 4 In 3.96
Pb: 0.3749 0.3749 0.3749  6 Pb 3.23-3.24
Pb: 0.3749 0.3749 0.8753  6 Pb 3.23-3.24
Pb: 0.8753 0.3749 0.3749  6 Pb 3.23-3.24
Pb: 0.3749 0.8753 0.3749  6 Pb 3.23-3.24

Output
Total energy ... -4.230 Ry per atom
N(E_F) ... 0.378 states/eV/atom
E_form ... -0.08 eV/atom



[3]
Material: RbLiSc2
Method: DFT, meta-GGA SCAN
State: single point on PBEsol structure

abc: 3.2596 3.2596 13.0054
angles: 82.80 82.80 60.00
With the nearest neighbours (Å) after each atom.
Positions (direct):
Sc: 0.9224 0.9224 0.2328  1 Li 3.00, 6 Sc 3.26
Sc: 0.0776 0.0776 0.7672  1 Li 3.00, 6 Sc 3.26
Rb: 0.5000 0.5000 0.5000  6 Rb 3.26
Li: 0.0000 0.0000 0.0000  2 Sc 3.00, 6 Li 3.26

Output
Total energy ... -0.901 Ry per atom
N(E_F) ... 0.982 states/eV/atom
E_form ... 0.65 eV/atom



[4]
Material: NaZnPO4
Method: DFT, meta-GGA SCAN
State: single point on PBEsol structure

abc: 8.1464 8.6686 15.2861
angles: 89.84 90.00 90.00
With the nearest neighbours (Å) after each atom.
Positions (direct):
Na: 0.5315 0.2724 0.9340  4 O 2.31-2.38
Na: 0.0315 0.2276 0.5660  4 O 2.31-2.38
Na: 0.4685 0.7276 0.0660  4 O 2.31-2.38
Na: 0.9685 0.7724 0.4340  4 O 2.31-2.38
Na: 0.4668 0.2626 0.5925  5 O 2.34-2.45
Na: 0.9668 0.2374 0.9075  5 O 2.34-2.45
Na: 0.5332 0.7374 0.4075  5 O 2.34-2.45
Na: 0.0332 0.7626 0.0925  5 O 2.34-2.45
Na: 0.4643 0.7412 0.7523  3 O 2.37-2.40
Na: 0.9643 0.7588 0.7477  3 O 2.37-2.40
Na: 0.5357 0.2588 0.2477  3 O 2.37-2.40
Na: 0.0357 0.2412 0.2523  3 O 2.37-2.40
Zn: 0.7793 0.0846 0.7348  4 O 1.93-1.96
Zn: 0.2793 0.4154 0.7652  4 O 1.93-1.96
Zn: 0.2207 0.9154 0.2652  4 O 1.93-1.96
Zn: 0.7207 0.5846 0.2348  4 O 1.93-1.96
Zn: 0.2854 0.8900 0.5788  4 O 1.94-1.95
Zn: 0.7854 0.6100 0.9212  4 O 1.94-1.95
Zn: 0.7146 0.1100 0.4212  4 O 1.94-1.95
Zn: 0.2146 0.3900 0.0788  4 O 1.94-1.95
Zn: 0.7811 0.5630 0.5931  4 O 1.94-1.96
Zn: 0.2811 0.9370 0.9069  4 O 1.94-1.96
Zn: 0.2189 0.4370 0.4069  4 O 1.94-1.96
Zn: 0.7189 0.0630 0.0931  4 O 1.94-1.96
P: 0.1722 0.0752 0.7332  4 O 1.55
P: 0.6722 0.4248 0.7668  4 O 1.55
P: 0.8278 0.9248 0.2668  4 O 1.55
P: 0.3278 0.5752 0.2332  4 O 1.55
P: 0.6737 0.8979 0.5786  4 O 1.55
P: 0.1737 0.6021 0.9214  4 O 1.55
P: 0.3263 0.1021 0.4214  4 O 1.55
P: 0.8263 0.3979 0.0786  4 O 1.55
P: 0.1725 0.5574 0.5918  4 O 1.55-1.56
P: 0.6725 0.9426 0.9082  4 O 1.55-1.56
P: 0.8275 0.4426 0.4082  4 O 1.55-1.56
P: 0.3275 0.0574 0.0918  4 O 1.55-1.56
O: 0.6503 0.4262 0.6661  1 P 1.55
O: 0.1503 0.0738 0.8339  1 P 1.55
O: 0.3497 0.5738 0.3339  1 P 1.55
O: 0.8497 0.9262 0.1661  1 P 1.55
O: 0.7597 0.2757 0.7983  1 P 1.55
O: 0.2597 0.2243 0.7017  1 P 1.55
O: 0.2403 0.7243 0.2017  1 P 1.55
O: 0.7403 0.7757 0.2983  1 P 1.55
O: 0.7721 0.5681 0.7959  1 P 1.55
O: 0.2721 0.9319 0.7041  1 P 1.55
O: 0.2279 0.4319 0.2041  1 P 1.55
O: 0.7279 0.0681 0.2959  1 P 1.55
O: 0.5020 0.4337 0.8120  1 P 1.55
O: 0.0020 0.0663 0.6880  1 P 1.55
O: 0.4980 0.5663 0.1880  1 P 1.55
O: 0.9980 0.9337 0.3120  1 P 1.55
O: 0.7680 0.7766 0.6339  1 P 1.55
O: 0.2680 0.7234 0.8661  1 P 1.55
O: 0.2320 0.2234 0.3661  1 P 1.55
O: 0.7320 0.2766 0.1339  1 P 1.55
O: 0.7708 0.9196 0.8225  1 P 1.55
O: 0.7741 0.9353 0.4946  1 P 1.55
O: 0.2259 0.0647 0.5054  1 P 1.55
O: 0.7259 0.4353 0.9946  1 P 1.55
O: 0.6441 0.0455 0.6335  1 P 1.55
O: 0.1441 0.4545 0.8665  1 P 1.55
O: 0.3559 0.9545 0.3665  1 P 1.55
O: 0.8559 0.5455 0.1335  1 P 1.55
O: 0.5073 0.8267 0.5510  1 P 1.55
O: 0.0073 0.6733 0.9490  1 P 1.55
O: 0.4927 0.1733 0.4490  1 P 1.55
O: 0.9927 0.3267 0.0510  1 P 1.55
O: 0.6497 0.7847 0.9543  1 P 1.55
O: 0.1497 0.7153 0.5457  1 P 1.55
O: 0.3503 0.2153 0.0457  1 P 1.55
O: 0.8503 0.2847 0.4543  1 P 1.55
O: 0.0029 0.4872 0.6146  1 P 1.55
O: 0.5029 0.0128 0.8854  1 P 1.55
O: 0.9971 0.5128 0.3854  1 P 1.55
O: 0.4971 0.9872 0.1146  1 P 1.55
O: 0.7348 0.5582 0.4684  1 P 1.56
O: 0.2348 0.9418 0.0316  1 P 1.56
O: 0.2652 0.4418 0.5316  1 P 1.56
O: 0.7652 0.0582 0.9684  1 P 1.56
O: 0.7292 0.4196 0.3225  1 P 1.55
O: 0.2292 0.0804 0.1775  1 P 1.55
O: 0.2708 0.5804 0.6775  1 P 1.55
O: 0.2741 0.5647 0.0054  1 P 1.55

Output
Total energy ... -0.727 Ry per atom
N(E_F) ... 0.000 states/eV/atom



[5]
Material: YZn2Se
Method: DFT, meta-GGA SCAN
State: single point on PBEsol structure

abc: 4.2389 4.2389 6.3445
angles: 70.48 70.48 60.00
With the nearest neighbours (Å) after each atom.
Positions (direct):
Se: 0.5131 0.5131 0.4608  3 Y 2.81
Y: 0.2584 0.2584 0.2249  3 Se 2.81, 6 Zn 3.06-3.09
Zn: 0.0323 0.0323 0.9030  3 Zn 2.45
Zn: 0.6962 0.6962 0.9114  3 Zn 2.45

Output
Total energy ... -1.427 Ry per atom
N(E_F) ... 0.446 states/eV/atom



[6]
Material: ScPt2Au
Method: DFT, meta-GGA SCAN
State: single point on PBEsol structure

abc: 4.0289 4.0289 4.8895
angles: 114.33 114.33 90.00
With the nearest neighbours (Å) after each atom.
Positions (direct):
Sc: 0.0000 0.0000 0.0000  8 Pt 2.83, 4 Au 2.85
Au: 0.5000 0.5000 0.0000  8 Pt 2.83, 4 Sc 2.85
Pt: 0.7500 0.2500 0.5000  4 Sc 2.83, 4 Au 2.83, 4 Pt 2.85
Pt: 0.2500 0.7500 0.5000  4 Sc 2.83, 4 Au 2.83, 4 Pt 2.85

Output
Total energy ... -4.185 Ry per atom
N(E_F) ... 0.334 states/eV/atom
E_form ... -1.00 eV/atom



[7]
Material: AlIrI3
Method: DFT, meta-GGA SCAN
State: single point on PBEsol structure

abc: 5.3470 5.3470 5.3470
angles: 90.00 90.00 90.00
With the nearest neighbours (Å) after each atom.
Positions (direct):
I: 0.0000 0.5000 0.0000  2 Ir 2.67
I: 0.0000 0.0000 0.5000  2 Ir 2.67
I: 0.5000 0.0000 0.0000  2 Ir 2.67
Ir: 0.0000 0.0000 0.0000  6 I 2.67
Al: 0.5000 0.5000 0.5000  12 I 3.78

Output
Total energy ... -2.749 Ry per atom
N(E_F) ... 0.982 states/eV/atom



[8]
Material: Zn4Cr
Method: DFT, meta-GGA SCAN
State: single point on PBEsol structure

abc: 3.5378 3.5378 6.5207
angles: 105.74 105.74 90.00
With the nearest neighbours (Å) after each atom.
Positions (direct):
Cr: 0.0000 0.0000 0.0000  8 Zn 2.77
Zn: 0.7500 0.2500 0.5000  8 Zn 2.50-2.54
Zn: 0.4019 0.4019 0.8037  5 Zn 2.36-2.54
Zn: 0.5981 0.5981 0.1963  5 Zn 2.36-2.54
Zn: 0.2500 0.7500 0.5000  8 Zn 2.50-2.54

Output
Total energy ... -1.055 Ry per atom
N(E_F) ... 0.303 states/eV/atom
E_form ... 0.13 eV/atom
Distance to the lowest polymorph of the same formula ... 142.0 meV per atom



[9]
Material: Tl2CrCu
Method: DFT, meta-GGA SCAN
State: single point on PBEsol structure

abc: 3.2427 3.2427 9.0769
angles: 79.71 79.71 60.00
With the nearest neighbours (Å) after each atom.
Positions (direct):
Cr: 0.5110 0.5110 0.4671  3 Cu 2.53
Cu: 0.2418 0.2418 0.2747  3 Cr 2.53, 3 Tl 2.81
Tl: 0.9873 0.9873 0.0380  3 Cu 2.81
Tl: 0.7599 0.7599 0.7203  3 Cr 2.93, 6 Tl 3.24

Output
Total energy ... -3.244 Ry per atom
N(E_F) ... 0.508 states/eV/atom
E_form ... 0.43 eV/atom
Distance to the lowest polymorph of the same formula ... 14.3 meV per atom



[10]
Material: KAs2Pt
Method: DFT, meta-GGA SCAN
State: single point on PBEsol structure

abc: 4.0283 4.0283 6.9676
angles: 73.20 73.20 60.00
With the nearest neighbours (Å) after each atom.
Positions (direct):
As: 0.2828 0.2828 0.1515  3 Pt 2.53
As: 0.7172 0.7172 0.8485  3 Pt 2.53
K: 0.5000 0.5000 0.5000  6 As 3.26
Pt: 0.0000 0.0000 0.0000  6 As 2.53

Output
Total energy ... -2.228 Ry per atom
N(E_F) ... 0.380 states/eV/atom
E_form ... -0.59 eV/atom
Distance to the lowest polymorph of the same formula ... 0.0 meV per atom